(1)
VASP calculation (PBE) on an optimized crystal structure of CdIrCl2.

Results
M_tot = 0.00 μB per formula unit
Calculated volume = 26.525 Å³/atom
ΔE_f (raw) = -0.668 eV per formula unit
Energy above the lowest structure with this stoichiometry = 10 meV/atom
D(E_F) = 4.07 states/eV per cell

The structure in CIF format:
```
data_CdIrCl2
_cell_length_a 8.0325
_cell_length_b 8.0325
_cell_length_c 4.6497
_cell_angle_alpha 107.40
_cell_angle_beta 107.40
_cell_angle_gamma 21.80
_symmetry_space_group_name_H-M 'P 1'
_symmetry_Int_Tables_number 1
loop_
_symmetry_equiv_pos_as_xyz
'x,y,z'
loop_
_atom_site_label
_atom_site_type_symbol
_atom_site_fract_x
_atom_site_fract_y
_atom_site_fract_z
_atom_site_occupancy
Cl1 Cl 0.0995 0.0995 0.0963 1
Cl2 Cl 0.4005 0.4005 0.4037 1
Ir1 Ir 0.2500 0.2500 0.2500 1
Cd1 Cd 0.7500 0.7500 0.7500 1
```

=====

(2)
VASP calculation (PBE) on an optimized crystal structure of CdIr3Cl.

Results
M_tot = 4.74 μB per formula unit
Calculated volume = 25.004 Å³/atom
ΔE_f (raw) = 12.501 eV per formula unit
Energy above the lowest structure with this stoichiometry = 1156 meV/atom
D(E_F) = 8.26 states/eV per cell

The structure in CIF format:
```
data_CdIr3Cl
_cell_length_a 5.0003
_cell_length_b 5.0003
_cell_length_c 5.0003
_cell_angle_alpha 90.00
_cell_angle_beta 90.00
_cell_angle_gamma 90.00
_symmetry_space_group_name_H-M 'P 1'
_symmetry_Int_Tables_number 1
loop_
_symmetry_equiv_pos_as_xyz
'x,y,z'
loop_
_atom_site_label
_atom_site_type_symbol
_atom_site_fract_x
_atom_site_fract_y
_atom_site_fract_z
_atom_site_occupancy
Cl1 Cl 0.5000 0.5000 0.5000 1
Ir1 Ir 0.0000 0.5000 0.0000 1
Ir2 Ir 0.0000 0.0000 0.5000 1
Ir3 Ir 0.5000 0.0000 0.0000 1
Cd1 Cd 0.0000 0.0000 0.0000 1
```

=====

(3)
VASP calculation (PBE) on an optimized crystal structure of CdIrCl2.

Results
M_tot = 0.42 μB per formula unit
Calculated volume = 23.479 Å³/atom
ΔE_f (raw) = 1.136 eV per formula unit
Energy above the lowest structure with this stoichiometry = 461 meV/atom
D(E_F) = 4.63 states/eV per cell

The structure in CIF format:
```
data_CdIrCl2
_cell_length_a 3.2112
_cell_length_b 4.2064
_cell_length_c 6.9527
_cell_angle_alpha 90.00
_cell_angle_beta 90.00
_cell_angle_gamma 90.00
_symmetry_space_group_name_H-M 'P 1'
_symmetry_Int_Tables_number 1
loop_
_symmetry_equiv_pos_as_xyz
'x,y,z'
loop_
_atom_site_label
_atom_site_type_symbol
_atom_site_fract_x
_atom_site_fract_y
_atom_site_fract_z
_atom_site_occupancy
Cl1 Cl 0.0000 0.0000 0.9134 1
Cl2 Cl 0.5000 0.5000 0.3120 1
Ir1 Ir 0.0000 0.0000 0.5822 1
Cd1 Cd 0.5000 0.5000 0.6924 1
```

=====

(4)
VASP calculation (PBE) on an optimized crystal structure of CdIrCl3.

Results
M_tot = 0.00 μB per formula unit
Calculated volume = 22.774 Å³/atom
ΔE_f (raw) = -0.120 eV per formula unit
Energy above the lowest structure with this stoichiometry = 0 meV/atom
D(E_F) = 3.87 states/eV per cell

The structure in CIF format:
```
data_CdIrCl3
_cell_length_a 4.8470
_cell_length_b 4.8470
_cell_length_c 4.8470
_cell_angle_alpha 90.00
_cell_angle_beta 90.00
_cell_angle_gamma 90.00
_symmetry_space_group_name_H-M 'P 1'
_symmetry_Int_Tables_number 1
loop_
_symmetry_equiv_pos_as_xyz
'x,y,z'
loop_
_atom_site_label
_atom_site_type_symbol
_atom_site_fract_x
_atom_site_fract_y
_atom_site_fract_z
_atom_site_occupancy
Cl1 Cl 0.0000 0.5000 0.0000 1
Cl2 Cl 0.0000 0.0000 0.5000 1
Cl3 Cl 0.5000 0.0000 0.0000 1
Ir1 Ir 0.0000 0.0000 0.0000 1
Cd1 Cd 0.5000 0.5000 0.5000 1
```

=====

(5)
VASP calculation (PBE) on an optimized crystal structure of CdIrCl2.

Results
M_tot = 0.00 μB per formula unit
Calculated volume = 25.285 Å³/atom
ΔE_f (raw) = -0.163 eV per formula unit
Energy above the lowest structure with this stoichiometry = 137 meV/atom
D(E_F) = 1.29 states/eV per cell

The structure in CIF format:
```
data_CdIrCl2
_cell_length_a 6.8417
_cell_length_b 6.8417
_cell_length_c 6.8417
_cell_angle_alpha 152.59
_cell_angle_beta 136.43
_cell_angle_gamma 52.25
_symmetry_space_group_name_H-M 'P 1'
_symmetry_Int_Tables_number 1
loop_
_symmetry_equiv_pos_as_xyz
'x,y,z'
loop_
_atom_site_label
_atom_site_type_symbol
_atom_site_fract_x
_atom_site_fract_y
_atom_site_fract_z
_atom_site_occupancy
Cl1 Cl 0.8928 0.8928 0.0000 1
Cl2 Cl 0.6072 0.6072 0.0000 1
Ir1 Ir 0.7500 0.2500 0.5000 1
Cd1 Cd 0.2500 0.7500 0.5000 1
```

=====

(6)
VASP calculation (PBE) on an optimized crystal structure of CdIr2Cl.

Results
M_tot = 0.00 μB per formula unit
Calculated volume = 16.750 Å³/atom
ΔE_f (raw) = 2.305 eV per formula unit
Energy above the lowest structure with this stoichiometry = 381 meV/atom
D(E_F) = 3.61 states/eV per cell

The structure in CIF format:
```
data_CdIr2Cl
_cell_length_a 2.8398
_cell_length_b 4.8932
_cell_length_c 6.8810
_cell_angle_alpha 44.49
_cell_angle_beta 90.00
_cell_angle_gamma 90.00
_symmetry_space_group_name_H-M 'P 1'
_symmetry_Int_Tables_number 1
loop_
_symmetry_equiv_pos_as_xyz
'x,y,z'
loop_
_atom_site_label
_atom_site_type_symbol
_atom_site_fract_x
_atom_site_fract_y
_atom_site_fract_z
_atom_site_occupancy
Cl1 Cl 0.0000 0.0000 0.5000 1
Ir1 Ir 0.0000 0.0000 0.0000 1
Ir2 Ir 0.5000 0.5000 0.0000 1
Cd1 Cd 0.5000 0.5000 0.5000 1
```

=====

What is the calculated volume in the fifth record?
25.285 Å³/atom